The following is a GGA-PBE calculation of a relaxed structure of Tb3Cd2C, from Alexandria via LeMat-Bulk.

space group = Cmmm, No. 65
energy relative to the elements = -0.311 eV/atom
total magnetization = 0.0 μB/cell
V = 141.2 Å³/cell

a = 8.3083 Å, b = 8.3083 Å, c = 3.5201 Å
α = 90.00°, β = 90.00°, γ = 144.47°
Atoms (fractional coordinates):
Tb 0.0000 0.0000 0.0000
Tb 0.3896 0.6104 0.5000
Tb 0.6104 0.3896 0.5000
Cd 0.2015 0.7985 0.0000
Cd 0.7985 0.2015 0.0000
C 0.5000 0.5000 0.0000